(1)
This record from Alexandria via LeMat-Bulk describes a PBEsol-optimized structure of MoP2Rh. The functional is meta-GGA SCAN.

Lattice parameters (Å, degrees): 2.874 2.874 7.309 90.00 90.00 90.00
Element x y z (fractional)
P1 0.500 0.500 0.306
Rh1 0.000 0.000 0.488
Mo1 0.500 0.500 0.758
P2 0.000 0.000 0.947

## Properties
E_form   -0.11 eV/f.u.
Total energy   -22.39 eV per atom
Mass density   7.17 g/cm3
Space-group type   P4mm, No. 99

=====

(2)
This record from Alexandria via LeMat-Bulk describes a PBEsol-optimized structure of MoPRhS2. The functional is meta-GGA SCAN.

Lattice parameters (Å, degrees): 4.499 4.499 4.672 90.00 90.00 90.00
Element x y z (fractional)
P1 0.000 0.000 0.500
Mo1 0.000 0.000 0.000
Rh1 0.500 0.500 0.500
S1 0.500 0.000 0.000
S2 0.000 0.500 0.000

## Properties
Total energy   -18.92 eV per atom
E above lowest polymorph   0 kJ/mol of formula units
Mass density   5.16 g/cm3
Formation energy (no corrections)   0.75 eV/atom
Space-group type   P4/mmm, No. 123

=====

(3)
This record from Alexandria via LeMat-Bulk describes a PBEsol-optimized structure of MoPRhS2. The functional is meta-GGA SCAN.

Lattice parameters (Å, degrees): 4.371 4.565 4.565 90.00 90.00 90.00
Element x y z (fractional)
P1 0.500 0.000 0.000
Mo1 0.500 0.500 0.500
S1 0.000 0.000 0.500
Rh1 0.000 0.000 0.000
S2 0.000 0.500 0.000

## Properties
Total energy   -18.87 eV per atom
E above lowest polymorph   25 kJ/mol of formula units
Mass density   5.36 g/cm3
Formation energy (no corrections)   0.80 eV/atom
Space-group type   P4/mmm, No. 123

=====

(4)
This record from Alexandria via LeMat-Bulk describes a PBEsol-optimized structure of Mo4PRu. The functional is meta-GGA SCAN.

Lattice parameters (Å, degrees): 5.067 5.067 5.067 60.00 60.00 60.00
Element x y z (fractional)
Mo1 0.624 0.128 0.624
Mo2 0.128 0.624 0.624
Mo3 0.624 0.624 0.128
P1 0.250 0.250 0.250
Mo4 0.624 0.624 0.624
Ru1 0.000 0.000 0.000

## Properties
E_form   4.05 eV/f.u.
Total energy   -30.12 eV per atom
Mass density   9.31 g/cm3
Space-group type   F-43m, No. 216

=====

(5)
This record from Alexandria via LeMat-Bulk describes a PBEsol-optimized structure of MoPRu2. The functional is meta-GGA SCAN.

Lattice parameters (Å, degrees): 4.228 4.228 4.228 60.00 60.00 60.00
Element x y z (fractional)
Mo1 0.500 0.500 0.500
Ru1 0.750 0.750 0.750
P1 0.250 0.250 0.250
Ru2 0.000 0.000 0.000

## Properties
E_form   0.51 eV/f.u.
Total energy   -28.61 eV per atom
Mass density   10.23 g/cm3
Space-group type   F-43m, No. 216

=====

(6)
This record from Alexandria via LeMat-Bulk describes a PBEsol-optimized structure of MoPRu2. The functional is meta-GGA SCAN.

Lattice parameters (Å, degrees): 2.839 2.839 6.554 90.00 90.00 90.00
Element x y z (fractional)
Ru1 0.000 0.000 0.962
Mo1 0.000 0.000 0.519
P1 0.500 0.500 0.765
Ru2 0.500 0.500 0.255

## Properties
E_form   -0.80 eV/f.u.
Total energy   -28.94 eV per atom
Mass density   10.35 g/cm3
Space-group type   P4mm, No. 99

=====

(7)
This record from Alexandria via LeMat-Bulk describes a PBEsol-optimized structure of MoPRu2. The functional is meta-GGA SCAN.

Lattice parameters (Å, degrees): 3.743 3.743 4.622 113.89 113.89 90.00
Element x y z (fractional)
Ru1 0.250 0.750 0.500
P1 0.000 0.000 0.000
Ru2 0.750 0.250 0.500
Mo1 0.500 0.500 0.000

## Properties
E_form   0.10 eV/f.u.
Total energy   -28.71 eV per atom
Mass density   10.29 g/cm3
Space-group type   I4/mmm, No. 139

=====

(8)
This record from Alexandria via LeMat-Bulk describes a PBEsol-optimized structure of MoPRu3. The functional is meta-GGA SCAN.

Lattice parameters (Å, degrees): 4.541 4.541 4.541 90.00 90.00 90.00
Element x y z (fractional)
Ru1 0.000 0.500 0.000
Mo1 0.000 0.000 0.000
Ru2 0.500 0.000 0.000
Ru3 0.000 0.000 0.500
P1 0.500 0.500 0.500

## Properties
E_form   9.92 eV/f.u.
Total energy   -27.97 eV per atom
Mass density   7.63 g/cm3
Space-group type   Pm-3m, No. 221

=====

(9)
This record from Alexandria via LeMat-Bulk describes a PBEsol-optimized structure of MoPRu2. The functional is meta-GGA SCAN.

Lattice parameters (Å, degrees): 2.844 4.301 4.380 90.00 90.00 90.00
Element x y z (fractional)
Ru1 0.500 0.000 0.500
P1 0.000 0.500 0.500
Mo1 0.500 0.500 0.000
Ru2 0.000 0.000 0.000

## Properties
E_form   0.32 eV/f.u.
Total energy   -28.65 eV per atom
Mass density   10.20 g/cm3
Space-group type   Pmmm, No. 47

=====

(10)
This record from Alexandria via LeMat-Bulk describes a PBEsol-optimized structure of Mo2PS. The functional is meta-GGA SCAN.

Lattice parameters (Å, degrees): 4.406 4.406 7.603 106.84 106.84 90.00
Element x y z (fractional)
Mo1 0.890 0.375 0.250
S1 0.000 0.000 0.000
Mo2 0.625 0.640 0.750
P1 0.750 0.250 0.500
Mo3 0.125 0.110 0.750
S2 0.250 0.750 0.500
Mo4 0.360 0.875 0.250
P2 0.500 0.500 0.000

## Properties
Total energy   -22.36 eV per atom
Mass density   6.29 g/cm3
Formation energy (no corrections)   0.09 eV/atom
Space-group type   I-42d, No. 122

=====

(11)
This record from Alexandria via LeMat-Bulk describes a PBEsol-optimized structure of SiMoP2S. The functional is meta-GGA SCAN.

Lattice parameters (Å, degrees): 4.388 4.388 4.394 90.00 90.00 90.00
Element x y z (fractional)
P1 0.500 0.000 0.000
Mo1 0.500 0.500 0.500
P2 0.000 0.500 0.000
Si1 0.000 0.000 0.000
S1 0.000 0.000 0.500

## Properties
Total energy   -14.19 eV per atom
E above lowest polymorph   36 kJ/mol of formula units
Mass density   4.28 g/cm3
Formation energy (no corrections)   0.88 eV/atom
Space-group type   P4/mmm, No. 123

=====

(12)
This record from Alexandria via LeMat-Bulk describes a PBEsol-optimized structure of SiMoP2S. The functional is meta-GGA SCAN.

Lattice parameters (Å, degrees): 4.480 4.703 4.703 90.00 90.00 90.00
Element x y z (fractional)
P1 0.000 0.000 0.500
P2 0.000 0.500 0.000
Mo1 0.000 0.000 0.000
Si1 0.500 0.500 0.500
S1 0.500 0.000 0.000

## Properties
Total energy   -14.26 eV per atom
E above lowest polymorph   0 kJ/mol of formula units
Mass density   3.65 g/cm3
Formation energy (no corrections)   0.80 eV/atom
Space-group type   P4/mmm, No. 123

=====

(13)
This record from Alexandria via LeMat-Bulk describes a PBEsol-optimized structure of SnMoP2S. The functional is meta-GGA SCAN.

Lattice parameters (Å, degrees): 4.711 4.711 4.614 90.00 90.00 90.00
Element x y z (fractional)
Mo1 0.000 0.000 0.000
P1 0.000 0.500 0.000
P2 0.500 0.000 0.000
S1 0.000 0.000 0.500
Sn1 0.500 0.500 0.500

## Properties
Total energy   -19.88 eV per atom
Mass density   5.01 g/cm3
Formation energy (no corrections)   0.37 eV/atom
Space-group type   P4/mmm, No. 123

=====

(14)
This record from Alexandria via LeMat-Bulk describes a PBEsol-optimized structure of TiMoP2S. The functional is meta-GGA SCAN.

Lattice parameters (Å, degrees): 4.492 4.609 4.609 90.00 90.00 90.00
Element x y z (fractional)
Ti1 0.000 0.000 0.000
P1 0.000 0.500 0.000
S1 0.500 0.000 0.000
Mo1 0.500 0.500 0.500
P2 0.000 0.000 0.500

## Properties
Total energy   -15.78 eV per atom
Mass density   4.14 g/cm3
Formation energy (no corrections)   0.49 eV/atom
Space-group type   P4/mmm, No. 123

=====

(15)
This record from Alexandria via LeMat-Bulk describes a PBEsol-optimized structure of Tl2MoPS. The functional is meta-GGA SCAN.

Lattice parameters (Å, degrees): 4.448 5.237 5.237 90.00 90.00 90.00
Element x y z (fractional)
Tl1 0.000 0.000 0.500
Tl2 0.000 0.500 0.000
P1 0.000 0.000 0.000
S1 0.500 0.000 0.000
Mo1 0.500 0.500 0.500

## Properties
Total energy   -38.88 eV per atom
Mass density   7.73 g/cm3
Formation energy (no corrections)   1.05 eV/atom
Space-group type   P4/mmm, No. 123

=====

(16)
This record from Alexandria via LeMat-Bulk describes a PBEsol-optimized structure of YMoPS2. The functional is meta-GGA SCAN.

Lattice parameters (Å, degrees): 5.029 5.029 5.182 90.00 90.00 90.00
Element x y z (fractional)
Mo1 0.500 0.500 0.500
P1 0.000 0.000 0.500
S1 0.000 0.500 0.000
S2 0.500 0.000 0.000
Y1 0.000 0.000 0.000

## Properties
Total energy   -18.05 eV per atom
Mass density   3.55 g/cm3
Formation energy (no corrections)   0.42 eV/atom
Space-group type   P4/mmm, No. 123

=====

(17)
This record from Alexandria via LeMat-Bulk describes a PBEsol-optimized structure of Sb2MoP. The functional is meta-GGA SCAN.

Lattice parameters (Å, degrees): 3.713 4.846 5.187 117.84 110.97 90.00
Element x y z (fractional)
P1 0.000 0.500 0.000
Sb1 0.273 0.273 0.546
Mo1 0.500 0.000 0.000
Sb2 0.727 0.727 0.454

## Properties
Total energy   -29.31 eV per atom
Mass density   8.15 g/cm3
Formation energy (no corrections)   0.64 eV/atom
Space-group type   Immm, No. 71

=====

(18)
This record from Alexandria via LeMat-Bulk describes a PBEsol-optimized structure of Sb2MoP. The functional is meta-GGA SCAN.

Lattice parameters (Å, degrees): 3.200 3.200 7.729 90.00 90.00 90.00
Element x y z (fractional)
Sb1 0.000 0.000 0.933
Mo1 0.000 0.000 0.559
Sb2 0.500 0.500 0.314
P1 0.500 0.500 0.693

## Properties
Total energy   -29.99 eV per atom
Mass density   7.77 g/cm3
Formation energy (no corrections)   -0.04 eV/atom
Space-group type   P4mm, No. 99

=====

(19)
This record from Alexandria via LeMat-Bulk describes a PBEsol-optimized structure of Sb2MoP. The functional is meta-GGA SCAN.

Lattice parameters (Å, degrees): 3.334 4.489 5.161 90.00 90.00 90.00
Element x y z (fractional)
Sb1 0.000 0.000 0.000
Mo1 0.500 0.500 0.000
Sb2 0.500 0.000 0.500
P1 0.000 0.500 0.500

## Properties
Total energy   -29.16 eV per atom
Mass density   7.97 g/cm3
Formation energy (no corrections)   0.80 eV/atom
Space-group type   Pmmm, No. 47

=====

(20)
This record from Alexandria via LeMat-Bulk describes a PBEsol-optimized structure of Sb2MoP. The functional is meta-GGA SCAN.

Lattice parameters (Å, degrees): 3.545 3.651 7.075 104.95 104.51 90.00
Element x y z (fractional)
P1 0.197 0.697 0.395
Mo1 0.573 0.573 0.146
Sb1 0.973 0.973 0.947
Sb2 0.757 0.257 0.513

## Properties
Total energy   -29.71 eV per atom
Mass density   7.20 g/cm3
Formation energy (no corrections)   0.24 eV/atom
Space-group type   Imm2, No. 44

=====

(21)
This record from Alexandria via LeMat-Bulk describes a PBEsol-optimized structure of ZnSb2MoP. The functional is meta-GGA SCAN.

Lattice parameters (Å, degrees): 4.522 5.241 5.241 90.00 90.00 90.00
Element x y z (fractional)
Zn1 0.500 0.500 0.500
Sb1 0.000 0.000 0.500
P1 0.500 0.000 0.000
Sb2 0.000 0.500 0.000
Mo1 0.000 0.000 0.000

## Properties
Total energy   -26.12 eV per atom
Mass density   5.83 g/cm3
Formation energy (no corrections)   0.54 eV/atom
Space-group type   P4/mmm, No. 123

=====

(22)
This record from Alexandria via LeMat-Bulk describes a PBEsol-optimized structure of ScMoP3. The functional is meta-GGA SCAN.

Lattice parameters (Å, degrees): 4.616 4.616 4.616 90.00 90.00 90.00
Element x y z (fractional)
P1 0.500 0.000 0.000
P2 0.000 0.000 0.500
P3 0.000 0.500 0.000
Mo1 0.000 0.000 0.000
Sc1 0.500 0.500 0.500

## Properties
E_form   0.80 eV/f.u.
Total energy   -15.90 eV per atom
Mass density   3.95 g/cm3
Space-group type   Pm-3m, No. 221

=====

(23)
This record from Alexandria via LeMat-Bulk describes a PBEsol-optimized structure of ScTiMoP2. The functional is meta-GGA SCAN.

Lattice parameters (Å, degrees): 4.605 4.605 4.857 90.00 90.00 90.00
Element x y z (fractional)
Sc1 0.000 0.000 0.500
Mo1 0.000 0.000 0.000
P1 0.500 0.000 0.000
P2 0.000 0.500 0.000
Ti1 0.500 0.500 0.500

## Properties
E_form   2.37 eV/f.u.
Total energy   -16.72 eV per atom
Mass density   4.04 g/cm3
Space-group type   P4/mmm, No. 123

=====

(24)
This record from Alexandria via LeMat-Bulk describes a PBEsol-optimized structure of MoPSe2. The functional is meta-GGA SCAN.

Lattice parameters (Å, degrees): 6.076 6.513 6.076 117.80 90.00 117.80
Element x y z (fractional)
P1 0.500 0.000 0.500
Se1 0.125 0.750 0.646
Se2 0.625 0.750 0.104
Se3 0.896 0.250 0.875
Mo1 0.000 0.000 0.000
Mo2 0.250 0.500 0.750
Se4 0.354 0.250 0.375
P2 0.750 0.500 0.250

## Properties
Total energy   -20.76 eV per atom
Mass density   5.23 g/cm3
Formation energy (no corrections)   0.60 eV/atom
Space-group type   I-42d, No. 122

=====

(25)
This record from Alexandria via LeMat-Bulk describes a PBEsol-optimized structure of MoPSe2. The functional is meta-GGA SCAN.

Lattice parameters (Å, degrees): 3.051 4.020 6.628 96.54 103.31 90.00
Element x y z (fractional)
P1 0.000 0.500 0.000
Mo1 0.500 0.000 0.000
Se1 0.158 0.189 0.316
Se2 0.842 0.811 0.684

## Properties
Total energy   -21.33 eV per atom
Mass density   6.02 g/cm3
Formation energy (no corrections)   0.03 eV/atom
Space-group type   C2/m, No. 12

=====

(26)
This record from Alexandria via LeMat-Bulk describes a PBEsol-optimized structure of MoP2Se. The functional is meta-GGA SCAN.

Lattice parameters (Å, degrees): 3.398 4.224 4.646 90.00 90.00 100.53
Element x y z (fractional)
Mo1 0.500 0.000 0.500
P1 0.293 0.171 0.000
P2 0.707 0.829 0.000
Se1 0.000 0.500 0.500

## Properties
Total energy   -18.76 eV per atom
Mass density   6.00 g/cm3
Formation energy (no corrections)   0.18 eV/atom
Space-group type   P2/m, No. 10

=====

(27)
This record from Alexandria via LeMat-Bulk describes a PBEsol-optimized structure of ZnMo2PSe. The functional is meta-GGA SCAN.

Lattice parameters (Å, degrees): 4.221 4.540 4.540 90.00 90.00 90.00
Element x y z (fractional)
Zn1 0.500 0.000 0.000
Mo1 0.000 0.000 0.500
Se1 0.500 0.500 0.500
P1 0.000 0.000 0.000
Mo2 0.000 0.500 0.000

## Properties
Total energy   -21.96 eV per atom
Mass density   7.01 g/cm3
Formation energy (no corrections)   0.79 eV/atom
Space-group type   P4/mmm, No. 123

=====

(28)
This record from Alexandria via LeMat-Bulk describes a PBEsol-optimized structure of SiMoP2. The functional is meta-GGA SCAN.

Lattice parameters (Å, degrees): 4.228 4.228 4.228 90.43 119.75 119.75
Element x y z (fractional)
P1 0.500 0.750 0.250
Si1 0.000 0.000 0.000
P2 0.500 0.250 0.750
Mo1 0.000 0.500 0.500

## Properties
Total energy   -16.10 eV per atom
E above lowest polymorph   0 kJ/mol of formula units
Mass density   5.76 g/cm3
Formation energy (no corrections)   0.33 eV/atom
Space-group type   I4/mmm, No. 139

=====

(29)
This record from Alexandria via LeMat-Bulk describes a PBEsol-optimized structure of SiMoP3. The functional is meta-GGA SCAN.

Lattice parameters (Å, degrees): 4.628 4.628 4.628 90.00 90.00 90.00
Element x y z (fractional)
P1 0.000 0.500 0.000
Si1 0.500 0.500 0.500
P2 0.000 0.000 0.500
P3 0.500 0.000 0.000
Mo1 0.000 0.000 0.000

## Properties
Total energy   -14.29 eV per atom
Mass density   3.63 g/cm3
Formation energy (no corrections)   0.93 eV/atom
Space-group type   Pm-3m, No. 221